Entry from Alexandria via LeMat-Bulk: a relaxed structure of Tl3AgMo2O8 (GGA+U).

Results
For the density of states at the Fermi level, the calculation gives 0.00 states/eV/f.u. Its electronic total energy is -5.792 eV/atom. The theoretical density comes out at 6.51 Mg/m³. The total moment is 0.02 μB per cell. As for the space-group type: P-3m1, No. 164.

Cell lengths 6.208, 6.208, 7.960 Å; angles 90.00, 90.00, 120.00 degrees
Atoms (fractional coordinates):
Tl (0.333, 0.667, 0.666)
Tl (0.667, 0.333, 0.334)
Tl (0.000, 0.000, 0.000)
O (0.825, 0.649, 0.713)
O (0.175, 0.825, 0.287)
O (0.825, 0.175, 0.713)
O (0.175, 0.351, 0.287)
O (0.351, 0.175, 0.713)
O (0.649, 0.825, 0.287)
O (0.667, 0.333, 0.016)
O (0.333, 0.667, 0.984)
Mo (0.667, 0.333, 0.791)
Mo (0.333, 0.667, 0.209)
Ag (0.000, 0.000, 0.500)